# ZrZnBr2 | Alexandria | PBE-GGA | relaxed
# E_tot, eV per cell: -29.9
# Volume, Å³/cell: 245
# Uncorrected formation energy, eV/f.u.: -1.78
# Density of states at the Fermi level, states/eV per atom: 0.485
data_ZrZnBr2
_symmetry_space_group_name_H-M 'C m m m'
_symmetry_Int_Tables_number 65
_symmetry_space_group_name_Hall '-C 2 2'
_cell_length_a 3.390
_cell_length_b 6.459
_cell_length_c 11.199
_cell_angle_alpha 90.00
_cell_angle_beta 90.00
_cell_angle_gamma 90.00
loop_
_atom_site_label
_atom_site_fract_x
_atom_site_fract_y
_atom_site_fract_z
Zr1 0.000 0.000 0.000
Zn1 0.000 0.000 0.500
Br1 0.000 0.500 0.189

=====

# HoPuTlPd | Alexandria | PBE-GGA | relaxed
# E_tot, eV per cell: -110.4
# Energy of formation, eV/atom: -0.284
# Volume, Å³/cell: 396
# Density of states at the Fermi level, states/eV per atom: 2.795
data_HoPuTlPd
_symmetry_space_group_name_H-M 'F -4 3 m'
_symmetry_Int_Tables_number 216
_symmetry_space_group_name_Hall 'F -4 2 3'
_cell_length_a 7.346
_cell_length_b 7.346
_cell_length_c 7.346
_cell_angle_alpha 90.00
_cell_angle_beta 90.00
_cell_angle_gamma 90.00
loop_
_atom_site_label
_atom_site_fract_x
_atom_site_fract_y
_atom_site_fract_z
Ho1 0.000 0.000 0.000
Pu1 0.000 0.000 0.500
Tl1 0.250 0.250 0.250
Pd1 0.250 0.250 0.750

=====

# AgSnCl6 | Alexandria | PBE-GGA | relaxed
# E_tot, eV per cell: -23.0
# Volume, Å³/cell: 242
# Uncorrected formation energy, eV/f.u.: -5.08
# Density of states at the Fermi level, states/eV per atom: 0.361
data_AgSnCl6
_symmetry_space_group_name_H-M 'P -1'
_symmetry_Int_Tables_number 2
_cell_length_a 5.959
_cell_length_b 6.758
_cell_length_c 7.412
_cell_angle_alpha 115.08
_cell_angle_beta 112.13
_cell_angle_gamma 93.29
loop_
_symmetry_equiv_pos_as_xyz
'x,y,z'
'-x,-y,-z'
loop_
_atom_site_label
_atom_site_fract_x
_atom_site_fract_y
_atom_site_fract_z
Ag1 0.000 0.000 0.000
Sn1 0.500 0.500 0.000
Cl1 0.131 0.318 0.658
Cl2 0.296 0.376 0.195
Cl3 0.382 0.873 0.152

=====

# Hf2ScCo | Alexandria | PBE-GGA | relaxed
# E_tot, eV per cell: -131.2
# Energy of formation, eV/atom: 0.135
# Volume, Å³/cell: 294
# Density of states at the Fermi level, states/eV per atom: 1.921
data_Hf2ScCo
_symmetry_space_group_name_H-M 'F m -3 m'
_symmetry_Int_Tables_number 225
_symmetry_space_group_name_Hall '-F 4 2 3'
_cell_length_a 6.646
_cell_length_b 6.646
_cell_length_c 6.646
_cell_angle_alpha 90.00
_cell_angle_beta 90.00
_cell_angle_gamma 90.00
loop_
_atom_site_label
_atom_site_fract_x
_atom_site_fract_y
_atom_site_fract_z
Hf1 0.250 0.250 0.250
Sc1 0.000 0.000 0.000
Co1 0.000 0.000 0.500